MnCdHgF6 | PBE with a Hubbard U | optimized geometry

Unit cell a=5.799 b=5.799 c=9.541 alpha=90.00 beta=90.00 gamma=120.00
Site moments in Bohr magnetons follow the coordinates.
Fractional positions:
F 0.647 0.664 0.633  0.02
F 0.983 0.336 0.133  0.02
F 0.353 0.336 0.367  0.02
F 0.336 0.353 0.867  0.02
Mn 0.333 0.667 0.750  4.68
Cd 0.667 0.333 0.750  0.00
F 0.983 0.647 0.367  0.02
F 0.353 0.017 0.133  0.02
F 0.664 0.647 0.133  0.02
Cd 0.333 0.667 0.250  0.00
Mn 0.667 0.333 0.250  4.68
F 0.647 0.983 0.867  0.02
F 0.017 0.353 0.633  0.02
Hg 0.000 0.000 0.000  0.02
F 0.017 0.664 0.867  0.02
F 0.664 0.017 0.367  0.02
Hg 0.000 0.000 0.500  0.02
F 0.336 0.983 0.633  0.02

VASP energy: -77.2 eV/cell
total magnetization: 5.0 μB/f.u.